[1]
This record from Alexandria describes a relaxed TbPu3O crystal. The functional is PBE-GGA.

Values from the calculation:
SG   Pm-3m (221)
Uncorrected energy   -56.54 eV/cell

a = 4.924 Å, b = 4.924 Å, c = 4.924 Å
α = 90.00°, β = 90.00°, γ = 90.00°
Positions (direct):
Tb: 0.000 0.000 0.000
Pu: 0.000 0.500 0.500
Pu: 0.500 0.000 0.500
Pu: 0.500 0.500 0.000
O: 0.500 0.500 0.500

[2]
This record from Alexandria describes a relaxed LaPm2Y5 crystal. The functional is PBE-GGA.

Values from the calculation:
SG   Pbam (55)
DFT formation energy   0.01 eV/atom
Uncorrected energy   -186.54 eV/cell

a = 7.218 Å, b = 20.335 Å, c = 7.247 Å
α = 90.00°, β = 90.00°, γ = 90.00°
Positions (direct):
La: 0.250 0.126 0.000
La: 0.250 0.626 0.000
La: 0.750 0.374 0.000
La: 0.750 0.874 0.000
Pm: 0.000 0.000 0.251
Pm: 0.000 0.000 0.749
Pm: 0.249 0.626 0.500
Pm: 0.251 0.126 0.500
Pm: 0.500 0.500 0.251
Pm: 0.500 0.500 0.749
Pm: 0.749 0.874 0.500
Pm: 0.751 0.374 0.500
Y: 0.000 0.500 0.252
Y: 0.000 0.500 0.748
Y: 0.002 0.250 0.252
Y: 0.002 0.250 0.748
Y: 0.248 0.875 0.000
Y: 0.248 0.875 0.500
Y: 0.252 0.375 0.000
Y: 0.252 0.375 0.500
Y: 0.498 0.750 0.252
Y: 0.498 0.750 0.748
Y: 0.500 0.000 0.252
Y: 0.500 0.000 0.748
Y: 0.502 0.250 0.252
Y: 0.502 0.250 0.748
Y: 0.748 0.625 0.000
Y: 0.748 0.625 0.500
Y: 0.752 0.125 0.000
Y: 0.752 0.125 0.500
Y: 0.998 0.750 0.252
Y: 0.998 0.750 0.748

[3]
This record from Alexandria describes a relaxed ZrCuS crystal. The functional is PBE-GGA.

Values from the calculation:
SG   R-3m (166)
Uncorrected energy   -38.33 eV/cell

a = 7.396 Å, b = 7.396 Å, c = 7.396 Å
α = 33.29°, β = 33.29°, γ = 33.29°
Positions (direct):
Zr: 0.078 0.078 0.078
Zr: 0.922 0.922 0.922
Cu: 0.328 0.328 0.328
Cu: 0.672 0.672 0.672
S: 0.213 0.213 0.213
S: 0.787 0.787 0.787